# NaHf

A relaxed NaHf crystal (GGA-PBE, the Alexandria database).

abc: 5.906 5.906 6.026
angles: 90.00 90.00 90.00
Space group P4_2/mnm (No. 136)
Asymmetric unit:
1 Na 0.168 0.168 0.000 [4 per cell]
2 Hf 0.166 0.166 0.500 [4 per cell]

Results
energy of formation from the pure elements: 1.424 eV/atom
offset from the most stable computed form: 1.0069 eV/atom
total DFT energy (no corrections): -4.213 eV per atom
DOS(E_F): 6.83 states/eV/cell